The following is a DFT calculation (PBE-GGA) of a geometry-optimized Tm5HgIr4 structure.

## Properties
symmetry: P4/mmm, No. 123
spin magnetization: 0.07 μB per formula unit
DFT formation energy: -0.842 eV/atom
E: -66.5 eV per cell

Structure (POSCAR):
```
Tm5HgIr4
1.0
3.407 0.000 0.000
0.000 3.407 0.000
0.000 0.000 17.584
Tm Hg Ir
5 1 4
Direct
0.500 0.500 0.120 Tm
0.500 0.500 0.309 Tm
0.500 0.500 0.500 Tm
0.500 0.500 0.691 Tm
0.500 0.500 0.880 Tm
0.000 0.000 0.000 Hg
0.000 0.000 0.211 Ir
0.000 0.000 0.404 Ir
0.000 0.000 0.596 Ir
0.000 0.000 0.789 Ir
```